CaErHgBi, optimized geometry, DFT PBE-GGA; M_tot = 0.00 Bohr magnetons per cell; calculated formation energy = -0.51 eV per atom
1.0
-2.489 4.368 -2.037
-3.834 -0.585 -3.792
-5.194 0.978 1.220
Ca Er Bi Hg
1 1 1 1
Cartesian
-2.879 1.190 -1.152
-8.637 3.570 -3.457
0.000 0.000 0.000
-5.758 2.380 -2.305